Record 1
PBE-GGA AlIr3Os, optimized geometry; theoretical density = 12.4 Mg/m³; energy of formation from the pure elements = 1666 meV per atom; uncorrected energy = -6.645 eV per atom; SG = Pm-3m, No. 221; ΔE to the lowest computed polymorph = 15.7 kJ/mol of atoms
1.0
4.737 0.000 0.000
0.000 4.737 0.000
0.000 0.000 4.737
Al Os Ir
1 1 3
direct
0.500 0.500 0.500
0.000 0.000 0.000
0.000 0.000 0.500
0.000 0.500 0.000
0.500 0.000 0.000



Record 2
PBE-GGA V3As2, optimized geometry; theoretical density = 6.9 Mg/m³; energy of formation from the pure elements = -439 meV per atom; uncorrected energy = -7.770 eV per atom; SG = Pnma, No. 62
1.0
3.352 0.000 0.000
0.000 9.083 0.000
0.000 0.000 9.631
As V
8 12
direct
0.250 0.177 0.459
0.750 0.010 0.199
0.750 0.677 0.041
0.250 0.990 0.801
0.750 0.490 0.699
0.250 0.323 0.959
0.750 0.823 0.541
0.250 0.510 0.301
0.250 0.882 0.048
0.250 0.920 0.374
0.750 0.780 0.793
0.250 0.280 0.707
0.750 0.080 0.626
0.250 0.618 0.548
0.250 0.220 0.207
0.750 0.420 0.126
0.250 0.580 0.874
0.750 0.720 0.293
0.750 0.382 0.452
0.750 0.118 0.952



Record 3
PBE-GGA Pa3I2O6, optimized geometry; theoretical density = 6.6 Mg/m³; formation energy (no corrections) = -2.77 eV/atom; uncorrected energy = -8.345 eV per atom; SG = P-62m, No. 189
1.0
4.147 0.000 0.000
0.000 7.413 -4.280
0.000 0.000 8.560
O I Pa
6 2 3
direct
0.500 0.784 0.784
0.000 0.000 0.759
0.000 0.759 0.000
0.000 0.241 0.241
0.500 0.216 0.000
0.500 0.000 0.216
0.000 0.333 0.667
0.000 0.667 0.333
0.500 0.000 0.733
0.500 0.267 0.267
0.500 0.733 0.000



Record 4
PBE-GGA BaMoOs2Se, optimized geometry; theoretical density = 9.4 Mg/m³; formation energy (no corrections) = 1.74 eV/atom; uncorrected energy = -5.997 eV per atom; SG = P4/mmm, No. 123
1.0
4.628 0.000 0.000
0.000 5.721 0.000
0.000 0.000 4.628
Se Os Ba Mo
1 2 1 1
direct
0.000 0.000 0.000
0.500 0.000 0.000
0.000 0.000 0.500
0.000 0.500 0.000
0.500 0.500 0.500



Record 5
PBE-GGA PaMn2Si2Ni, optimized geometry; theoretical density = 8.2 Mg/m³; formation energy (no corrections) = 0.09 eV/atom; uncorrected energy = -7.320 eV per atom; SG = P4/mmm, No. 123
1.0
4.298 0.000 0.000
0.000 4.298 0.000
0.000 0.000 5.012
Ni Pa Si Mn
1 1 2 2
direct
0.000 0.000 0.000
0.000 0.000 0.500
0.000 0.500 0.000
0.500 0.000 0.000
0.500 0.500 0.286
0.500 0.500 0.714



Record 6
PBE-GGA Ac5GaSn2, optimized geometry; theoretical density = 8.0 Mg/m³; energy of formation from the pure elements = -530 meV per atom; uncorrected energy = -4.477 eV per atom; SG = Pbam, No. 55; ΔE to the lowest computed polymorph = 0.0 kJ/mol of atoms
1.0
-3.336 1.916 3.298
-6.046 -5.945 -2.663
4.309 -8.561 9.331
Ac Sn Ga
10 4 2
direct
0.000 0.344 0.287
0.500 0.192 0.071
0.000 0.500 0.000
0.000 0.844 0.213
0.500 0.808 0.929
0.000 0.656 0.713
0.500 0.692 0.429
0.000 0.000 0.500
0.000 0.156 0.787
0.500 0.308 0.571
0.500 0.429 0.829
0.500 0.571 0.171
0.500 0.929 0.671
0.500 0.071 0.329
0.000 0.000 0.000
0.000 0.500 0.500



Record 7
PBE-GGA KHg7Pb2, optimized geometry; theoretical density = 10.6 Mg/m³; energy of formation from the pure elements = -41 meV per atom; uncorrected energy = -1.104 eV per atom; SG = Cmmm, No. 65
1.0
3.604 0.000 0.000
0.000 5.878 -1.388
0.000 0.141 13.734
Hg K Pb
7 1 2
direct
0.500 0.648 0.796
0.500 0.147 0.796
0.500 0.500 0.000
0.000 0.812 0.623
0.500 0.352 0.204
0.500 0.853 0.204
0.000 0.188 0.377
0.000 0.000 0.000
0.500 0.712 0.423
0.500 0.288 0.577



Record 8
PBE-GGA CdCu2Br, optimized geometry; theoretical density = 6.8 Mg/m³; formation energy (no corrections) = 0.09 eV/atom; uncorrected energy = -2.606 eV per atom; SG = Pm, No. 6; ΔE to the lowest computed polymorph = 3.7 kJ/mol of atoms
1.0
-1.131 -1.259 -2.915
3.038 -1.327 -0.606
-1.813 -5.839 3.225
Cu Br Cd
2 1 1
direct
0.500 0.492 0.191
0.000 0.997 0.031
0.000 0.507 0.462
0.500 0.504 0.816



Copy entry 6 word for word.
PBE-GGA Ac5GaSn2, optimized geometry; theoretical density = 8.0 Mg/m³; energy of formation from the pure elements = -530 meV per atom; uncorrected energy = -4.477 eV per atom; SG = Pbam, No. 55; ΔE to the lowest computed polymorph = 0.0 kJ/mol of atoms
1.0
-3.336 1.916 3.298
-6.046 -5.945 -2.663
4.309 -8.561 9.331
Ac Sn Ga
10 4 2
direct
0.000 0.344 0.287
0.500 0.192 0.071
0.000 0.500 0.000
0.000 0.844 0.213
0.500 0.808 0.929
0.000 0.656 0.713
0.500 0.692 0.429
0.000 0.000 0.500
0.000 0.156 0.787
0.500 0.308 0.571
0.500 0.429 0.829
0.500 0.571 0.171
0.500 0.929 0.671
0.500 0.071 0.329
0.000 0.000 0.000
0.000 0.500 0.500



Which of these has the highest uncorrected energy? KHg7Pb2